meta-GGA SCAN SbAu3C, single point on PBEsol structure; ρ = 9.00 Mg/m³; space-group type = No. 221; D(E_F) = 5.0 states/eV per cell; uncorrected formation energy = 1.80 eV per atom; total magnetization = 2.0 μB per formula unit
1.0
5.113 0.000 0.000
0.000 5.113 0.000
0.000 0.000 5.113
Sb Au C
1 3 1
Direct
0.000 0.000 0.000 Sb
0.000 0.000 0.500 Au
0.000 0.500 0.000 Au
0.500 0.000 0.000 Au
0.500 0.500 0.500 C

=====

meta-GGA SCAN ScAuC2, single point on PBEsol structure; formation energy from the elements = 476 kJ/mol of formula units; ρ = 9.53 Mg/m³; space-group type = No. 225; D(E_F) = 3.8 states/eV per cell; total magnetization = 0.0 μB per formula unit
1.0
0.000 2.850 2.850
2.850 0.000 2.850
2.850 2.850 0.000
Sc Au C
1 1 2
Direct
0.000 0.000 0.000 Sc
0.500 0.500 0.500 Au
0.250 0.250 0.250 C
0.750 0.750 0.750 C